Density functional theory data (meta-GGA SCAN) for a PBEsol-optimized structure of SiH12C2N2F6.

Cell lengths 6.407, 7.003, 9.318 Å; angles 90.00, 90.00, 90.00 degrees
Fractional coordinates of all 46 atoms:
H 0.139 0.494 0.857
H 0.639 0.994 0.643
H 0.500 0.135 0.773
H 0.861 0.506 0.143
H 0.500 0.293 0.245
H 0.369 0.839 0.878
H 0.131 0.339 0.622
H 0.869 0.339 0.622
H 0.861 0.494 0.857
H 0.869 0.661 0.378
H 0.000 0.793 0.255
H 0.000 0.635 0.727
H 0.139 0.506 0.143
H 0.631 0.161 0.122
H 0.639 0.006 0.357
H 0.361 0.006 0.357
H 0.369 0.161 0.122
H 0.000 0.365 0.273
H 0.631 0.839 0.878
H 0.500 0.707 0.755
H 0.000 0.207 0.745
H 0.500 0.865 0.227
H 0.361 0.994 0.643
H 0.131 0.661 0.378
F 0.811 0.828 0.010
F 0.689 0.672 0.510
F 0.689 0.328 0.490
F 0.000 0.017 0.183
F 0.500 0.517 0.317
F 0.500 0.483 0.683
F 0.189 0.172 0.990
F 0.189 0.828 0.010
F 0.311 0.328 0.490
F 0.000 0.983 0.817
F 0.811 0.172 0.990
F 0.311 0.672 0.510
Si 0.500 0.500 0.500
Si 0.000 0.000 0.000
N 0.000 0.663 0.311
N 0.000 0.337 0.689
N 0.500 0.837 0.811
N 0.500 0.163 0.189
C 0.000 0.499 0.211
C 0.500 0.999 0.289
C 0.500 0.001 0.711
C 0.000 0.501 0.789

Results
E (eV per atom): -6.13
Crystal system: orthorhombic

---

Density functional theory data (meta-GGA SCAN) for a PBEsol-optimized structure of SiH12C2N2F6.

Cell lengths 6.733, 6.733, 9.408 Å; angles 85.89, 85.89, 89.36 degrees
Fractional coordinates of all 46 atoms:
H 0.368 0.329 0.067
H 0.343 0.104 0.550
H 0.605 0.870 0.144
H 0.671 0.632 0.433
H 0.104 0.343 0.050
H 0.896 0.657 0.950
H 0.870 0.605 0.644
H 0.246 0.017 0.988
H 0.395 0.130 0.856
H 0.130 0.395 0.356
H 0.329 0.368 0.567
H 0.657 0.896 0.450
H 0.017 0.246 0.488
H 0.273 0.458 0.913
H 0.983 0.754 0.512
H 0.862 0.854 0.651
H 0.542 0.727 0.587
H 0.854 0.862 0.151
H 0.632 0.671 0.933
H 0.146 0.138 0.849
H 0.727 0.542 0.087
H 0.458 0.273 0.413
H 0.138 0.146 0.349
H 0.754 0.983 0.012
F 0.398 0.961 0.233
F 0.602 0.039 0.767
F 0.040 0.960 0.250
F 0.784 0.221 0.568
F 0.039 0.602 0.267
F 0.961 0.398 0.733
F 0.401 0.599 0.250
F 0.221 0.784 0.068
F 0.779 0.216 0.932
F 0.216 0.779 0.432
F 0.960 0.040 0.750
F 0.599 0.401 0.750
N 0.145 0.260 0.417
N 0.855 0.740 0.583
N 0.260 0.145 0.917
N 0.740 0.855 0.083
Si 0.224 0.776 0.250
Si 0.776 0.224 0.750
C 0.331 0.251 0.492
C 0.749 0.669 0.008
C 0.669 0.749 0.508
C 0.251 0.331 0.992

Results
E (eV per atom): -6.12
Crystal system: monoclinic

---

Density functional theory data (meta-GGA SCAN) for a PBEsol-optimized structure of ZrH14C2N8F6.

Cell lengths 6.381, 6.377, 14.196 Å; angles 90.00, 99.12, 90.00 degrees
Fractional coordinates of all 62 atoms:
F 0.741 0.870 0.042
F 0.114 0.788 0.474
F 0.259 0.370 0.458
F 0.886 0.212 0.526
F 0.114 0.712 0.974
F 0.856 0.487 0.364
F 0.886 0.288 0.026
F 0.259 0.130 0.958
F 0.856 0.013 0.864
F 0.144 0.513 0.636
F 0.144 0.987 0.136
F 0.741 0.630 0.542
H 0.645 0.545 0.645
H 0.378 0.375 0.903
H 0.622 0.875 0.597
H 0.645 0.955 0.145
H 0.570 0.002 0.792
H 0.355 0.045 0.855
H 0.387 0.863 0.409
H 0.387 0.637 0.909
H 0.253 0.962 0.567
H 0.253 0.538 0.067
H 0.378 0.125 0.403
H 0.003 0.978 0.235
H 0.613 0.137 0.591
H 0.997 0.022 0.765
H 0.997 0.478 0.265
H 0.747 0.462 0.933
H 0.570 0.498 0.292
H 0.622 0.625 0.097
H 0.981 0.069 0.642
H 0.981 0.431 0.142
H 0.430 0.502 0.708
H 0.613 0.363 0.091
H 0.355 0.455 0.355
H 0.003 0.522 0.735
H 0.019 0.931 0.358
H 0.747 0.038 0.433
H 0.019 0.569 0.858
H 0.430 0.998 0.208
Zr 0.000 0.000 0.000
Zr 0.000 0.500 0.500
N 0.590 0.509 0.707
N 0.410 0.009 0.793
N 0.427 0.509 0.872
N 0.932 0.979 0.295
N 0.355 0.495 0.127
N 0.645 0.505 0.873
N 0.573 0.009 0.628
N 0.355 0.005 0.627
N 0.427 0.991 0.372
N 0.590 0.991 0.207
N 0.068 0.021 0.705
N 0.645 0.995 0.373
N 0.573 0.491 0.128
N 0.932 0.521 0.795
N 0.068 0.479 0.205
N 0.410 0.491 0.293
C 0.721 0.987 0.290
C 0.721 0.513 0.790
C 0.279 0.487 0.210
C 0.279 0.013 0.710

Results
E (eV per atom): -7.34
Crystal system: monoclinic

---

Density functional theory data (meta-GGA SCAN) for a PBEsol-optimized structure of SbH3C2O4F6.

Cell lengths 7.806, 7.806, 8.046 Å; angles 104.21, 114.49, 108.64 degrees
Fractional coordinates of all 32 atoms:
Sb 0.854 0.854 0.996
Sb 0.642 0.142 0.496
C 0.285 0.518 0.227
C 0.309 0.169 0.792
C 0.123 0.482 0.292
C 0.209 0.942 0.727
F 0.669 0.760 0.713
F 0.453 0.044 0.213
F 0.711 0.007 0.039
F 0.647 0.632 0.987
F 0.428 0.947 0.505
F 0.532 0.328 0.539
F 0.743 0.953 0.439
F 0.986 0.697 0.939
F 0.057 0.076 0.005
F 0.031 0.950 0.279
F 0.855 0.340 0.487
F 0.829 0.248 0.779
O 0.194 0.239 0.721
O 0.008 0.835 0.600
O 0.982 0.527 0.221
O 0.517 0.257 0.921
O 0.163 0.404 0.421
O 0.313 0.853 0.793
O 0.440 0.480 0.293
O 0.265 0.592 0.100
H 0.475 0.942 0.896
H 0.933 0.916 0.554
H 0.454 0.421 0.396
H 0.053 0.374 0.459
H 0.584 0.406 0.959
H 0.138 0.621 0.054

Results
E (eV per atom): -8.77
Crystal system: monoclinic

---

Density functional theory data (meta-GGA SCAN) for a PBEsol-optimized structure of TcHCF2.

Cell lengths 2.982, 2.982, 4.882 Å; angles 90.00, 90.00, 90.00 degrees
Each line ends with the local moment (μB).
Fractional coordinates of all 5 atoms:
Tc 0.500 0.500 0.500  2.20
F 0.500 0.000 0.000  0.14
F 0.000 0.500 0.000  0.14
H 0.000 0.000 0.000  0.00
C 0.000 0.000 0.500  -0.33

Results
E (eV per atom): -10.97
Crystal system: tetragonal

---

Density functional theory data (meta-GGA SCAN) for a PBEsol-optimized structure of HfMoC2F.

Cell lengths 3.866, 4.234, 4.234 Å; angles 90.00, 90.00, 90.00 degrees
Each line ends with the local moment (μB).
Fractional coordinates of all 5 atoms:
Hf 0.000 0.000 0.000  -0.04
C 0.000 0.500 0.000  -0.18
C 0.000 0.000 0.500  -0.18
Mo 0.500 0.500 0.500  3.07
F 0.500 0.000 0.000  0.02

Results
ΔE_f (raw) (meV per atom): 578
Crystal system: tetragonal